No. 1
Gd2ScAl after structural relaxation, computed with PBE.

Cell lengths 3.5805, 3.5805, 8.2882 Å; angles 90.00, 90.00, 90.00 degrees
Each line ends with the local moment (μB).
Atoms (fractional coordinates):
Gd1 0.0000 0.0000 0.2274  7.18
Sc1 0.5000 0.5000 0.5000  0.27
Gd2 0.0000 0.0000 0.7726  7.18
Al1 0.5000 0.5000 0.0000  -0.02

Values from the calculation:
The value obtained for the density of states at the Fermi level is 5.0 states/eV/f.u. For the formation energy from the elements, the calculation gives -0.62 eV/f.u. The total energy comes out at -9.714 eV/atom. The theoretical density is 6.04 g cm⁻³. The size of the total moment comes out at 15.3 Bohr magnetons per cell. As for the space group: P4/mmm, No. 123.

=====

No. 2
GdScAl4 after structural relaxation, computed with PBE.

Cell lengths 5.4813, 5.4813, 5.4813 Å; angles 60.00, 60.00, 60.00 degrees
Each line ends with the local moment (μB).
Atoms (fractional coordinates):
Sc1 0.0000 0.0000 0.0000  0.11
Al1 0.1246 0.6251 0.6251  0.00
Al2 0.6251 0.1246 0.6251  0.00
Al3 0.6251 0.6251 0.6251  0.00
Gd1 0.2500 0.2500 0.2500  7.17
Al4 0.6251 0.6251 0.1246  0.00

Values from the calculation:
The value obtained for the density of states at the Fermi level is 3.9 states/eV/f.u. For the formation energy from the elements, the calculation gives -2.94 eV/f.u. The total energy comes out at -6.387 eV/atom. The theoretical density is 4.42 g cm⁻³. The size of the total moment comes out at 7.6 Bohr magnetons per cell. As for the space group: F-43m, No. 216.

=====

No. 3
SmGdScAl after structural relaxation, computed with PBE.

Cell lengths 5.2870, 5.2870, 5.2870 Å; angles 60.00, 60.00, 60.00 degrees
Each line ends with the local moment (μB).
Atoms (fractional coordinates):
Al1 0.5000 0.5000 0.5000  -0.01
Sm1 0.2500 0.2500 0.2500  0.10
Sc1 0.0000 0.0000 0.0000  0.29
Gd1 0.7500 0.7500 0.7500  7.22

Values from the calculation:
The value obtained for the density of states at the Fermi level is 5.4 states/eV/f.u. For the formation energy from the elements, the calculation gives -0.44 eV/f.u. The total energy comes out at -7.330 eV/atom. The theoretical density is 6.03 g cm⁻³. The size of the total moment comes out at 8.1 Bohr magnetons per cell. As for the space group: F-43m, No. 216.

=====

No. 4
GdScAlTc after structural relaxation, computed with PBE.

Cell lengths 4.8449, 4.8449, 4.8449 Å; angles 60.00, 60.00, 60.00 degrees
Each line ends with the local moment (μB).
Atoms (fractional coordinates):
Al1 0.2500 0.2500 0.2500  0.00
Tc1 0.7500 0.7500 0.7500  -0.06
Gd1 0.5000 0.5000 0.5000  7.04
Sc1 0.0000 0.0000 0.0000  -0.01

Values from the calculation:
The value obtained for the density of states at the Fermi level is 3.2 states/eV/f.u. For the formation energy from the elements, the calculation gives -0.81 eV/f.u. The total energy comes out at -8.832 eV/atom. The theoretical density is 6.76 g cm⁻³. The size of the total moment comes out at 7.1 Bohr magnetons per cell. As for the space group: F-43m, No. 216.